(1)
First-principles (PBE) data for TbSc3C2S2 after structural relaxation, as listed in OQMD via LeMat-Bulk.

abc: 3.5212 3.5212 12.2235
angles: 90.00 90.00 120.00
Space group P3m1 (No. 156)
Unique sites:
Tb (0.0000, 0.0000, 0.0000) x1
Sc (0.0000, 0.0000, 0.6981) x1
Sc (0.3333, 0.6667, 0.2138) x1
Sc (0.3333, 0.6667, 0.4994) x1
C (0.6667, 0.3333, 0.1130) x1
C (0.6667, 0.3333, 0.5980) x1
S (0.0000, 0.0000, 0.3559) x1
S (0.3333, 0.6667, 0.8392) x1

Output
Total magnetization ... 0.01 μB/f.u.
DFT total energy ... -7.557 eV/atom

(2)
First-principles (PBE) data for BeFeSnGe after structural relaxation, as listed in OQMD via LeMat-Bulk.

abc: 6.3984 6.3984 6.3984
angles: 90.00 90.00 90.00
Space group F-43m (No. 216)
Unique sites:
Be (0.0000, 0.0000, 0.0000) x4
Fe (0.2500, 0.2500, 0.7500) x4
Sn (0.2500, 0.2500, 0.2500) x4
Ge (0.0000, 0.0000, 0.5000) x4

Output
Distance to the lowest polymorph of the same formula ... 0.143 eV/atom
Total magnetization ... 2.22 μB/f.u.
DFT total energy ... -4.506 eV/atom

Please write out number 1 again, unchanged.
First-principles (PBE) data for TbSc3C2S2 after structural relaxation, as listed in OQMD via LeMat-Bulk.

abc: 3.5212 3.5212 12.2235
angles: 90.00 90.00 120.00
Space group P3m1 (No. 156)
Unique sites:
Tb (0.0000, 0.0000, 0.0000) x1
Sc (0.0000, 0.0000, 0.6981) x1
Sc (0.3333, 0.6667, 0.2138) x1
Sc (0.3333, 0.6667, 0.4994) x1
C (0.6667, 0.3333, 0.1130) x1
C (0.6667, 0.3333, 0.5980) x1
S (0.0000, 0.0000, 0.3559) x1
S (0.3333, 0.6667, 0.8392) x1

Output
Total magnetization ... 0.01 μB/f.u.
DFT total energy ... -7.557 eV/atom